## AgBiPO (PBE-GGA)

Data for a relaxed structure of AgBiPO.

POSCAR file:
```
AgBiPO
1.0
4.1887 0.0000 0.0000
0.0000 6.5734 0.0000
0.0000 0.0000 6.2774
Ag Bi O P
2 2 2 2
Direct
0.5000 0.3326 0.0100
0.5000 0.6674 0.5100
0.0000 0.2121 0.4598
0.0000 0.7879 0.9598
0.5000 0.3170 0.3994
0.5000 0.6830 0.8994
0.0000 0.8113 0.3848
0.0000 0.1887 0.8848
```

Computed properties:
Its space group is No. 26. The calculation puts the energy relative to the lowest polymorph listed for this composition at 0.703 eV per formula unit. For the calculated volume, the calculation gives 172.8 Å³ per cell.